Entry from Alexandria via LeMat-Bulk: a relaxed structure of CoSiBr (PBE).

```
CoSiBr
1.0
-1.582 1.582 5.863
1.582 -1.582 5.863
1.582 1.582 -5.863
Co Si Br
1 1 1
Direct
0.000 0.000 0.000
0.440 0.440 0.000
0.655 0.655 0.000
```

Symmetry: I4mm (107)
Formation energy (no corrections) (eV/atom): 0.35